KAlCr2: relaxed, PBE.

Results
The volume is 67.0 Å³ per cell. As for the energy relative to the elements: 0.9205 eV per atom. The total moment is 0.00 μB per formula unit.

```
KAlCr2
1.0
1.7643 -1.9014 0.0000
1.7643 1.9014 0.0000
0.0000 0.0000 9.9858
K Al Cr
1 1 2
Direct
0.0000 0.0000 0.0000 K
0.0000 0.0000 0.5000 Al
0.5000 0.5000 0.3054 Cr
0.5000 0.5000 0.6946 Cr
```



K2NaAlCr: relaxed, PBE.

Results
The volume is 222.6 Å³ per cell. As for the energy relative to the elements: 1.0391 eV per atom. The total moment is 5.20 μB per formula unit.

```
K2NaAlCr
1.0
6.3201 0.0000 0.0000
0.0000 6.3201 0.0000
0.0000 0.0000 5.5719
K Na Al Cr
2 1 1 1
Direct
0.0000 0.5000 0.0000 K
0.5000 0.0000 0.0000 K
0.0000 0.0000 0.0000 Na
0.5000 0.5000 0.5000 Al
0.0000 0.0000 0.5000 Cr
```



KNb2AlCr: relaxed, PBE.

Results
The volume is 114.3 Å³ per cell. As for the energy relative to the elements: 1.6837 eV per atom. The total moment is 0.16 μB per formula unit.

```
KNb2AlCr
1.0
5.0030 0.0000 0.0000
0.0000 5.0030 0.0000
0.0000 0.0000 4.5652
K Nb Al Cr
1 2 1 1
Direct
0.0000 0.0000 0.0000 K
0.0000 0.5000 0.5000 Nb
0.5000 0.0000 0.5000 Nb
0.5000 0.5000 0.5000 Al
0.5000 0.5000 0.0000 Cr
```